No. 1
Density functional theory data (PBE) for Mg9Si5 after structural relaxation.

```
Mg9Si5
1.0
7.372 0.000 0.000
-3.200 6.828 0.000
-0.936 -0.836 11.062
Mg Si
18 10
Direct
0.000 0.000 0.000
0.001 0.495 0.577
0.106 0.672 0.858
0.210 0.899 0.437
0.248 0.788 0.147
0.268 0.257 0.237
0.301 0.078 0.728
0.313 0.336 0.510
0.348 0.392 0.970
0.525 0.784 0.601
0.570 0.807 0.896
0.673 0.487 0.746
0.695 0.070 0.159
0.721 0.611 0.412
0.794 0.569 0.042
0.861 0.058 0.436
0.910 0.148 0.728
0.979 0.461 0.301
0.022 0.373 0.071
0.296 0.484 0.741
0.379 0.645 0.361
0.385 0.045 0.969
0.559 0.672 0.175
0.588 0.215 0.359
0.601 0.174 0.575
0.733 0.220 0.914
0.926 0.814 0.631
0.932 0.854 0.237
```

Values from the calculation:
**Formation energy without anion corrections**: -0.013 eV per atom
**ρ**: 2142 kg/m3


No. 2
Density functional theory data (PBE) for MnPOsCl2 after structural relaxation.

```
MnPOsCl2
1.0
4.941 0.000 0.000
0.000 4.941 0.000
0.000 0.000 4.507
Mn P Os Cl
1 1 1 2
Direct
0.000 0.000 0.000
0.500 0.500 0.000
0.500 0.500 0.500
0.000 0.500 0.500
0.500 0.000 0.500
```

Values from the calculation:
**Formation energy without anion corrections**: 0.583 eV per atom
**ρ**: 5238 kg/m3


No. 3
Density functional theory data (PBE) for Pm2ZrPa2Ru5 after structural relaxation.

```
Pm2ZrPa2Ru5
1.0
10.899 0.000 0.000
0.000 10.899 0.000
0.000 0.000 3.454
Pm Zr Pa Ru
4 2 4 10
Direct
0.168 0.332 0.000
0.332 0.832 0.000
0.668 0.168 0.000
0.832 0.668 0.000
0.000 0.000 0.000
0.500 0.500 0.000
0.145 0.645 0.000
0.355 0.145 0.000
0.645 0.855 0.000
0.855 0.355 0.000
0.000 0.500 0.500
0.049 0.799 0.500
0.201 0.049 0.500
0.299 0.549 0.500
0.451 0.299 0.500
0.500 0.000 0.500
0.549 0.701 0.500
0.701 0.451 0.500
0.799 0.951 0.500
0.951 0.201 0.500
```

Values from the calculation:
**E_form**: -27.87 kJ per mole of atoms
**ρ**: 10916 kg/m3


No. 4
Density functional theory data (PBE) for Pa2Ge2S7 after structural relaxation.

```
Pa2Ge2S7
1.0
0.000 6.289 6.289
6.289 0.000 6.289
6.289 6.289 0.000
Pa Ge S
4 4 14
Direct
0.000 0.000 0.000
0.000 0.000 0.500
0.000 0.500 0.000
0.500 0.000 0.000
0.000 0.500 0.500
0.500 0.000 0.500
0.500 0.500 0.000
0.500 0.500 0.500
0.125 0.125 0.125
0.136 0.136 0.614
0.136 0.614 0.136
0.136 0.614 0.614
0.386 0.386 0.864
0.386 0.864 0.386
0.386 0.864 0.864
0.614 0.136 0.136
0.614 0.136 0.614
0.614 0.614 0.136
0.864 0.386 0.386
0.864 0.386 0.864
0.864 0.864 0.386
0.875 0.875 0.875
```

Values from the calculation:
**Formation energy without anion corrections**: -0.988 eV per atom
**ρ**: 5554 kg/m3